Entry 1:
Compound: YRuPt2
Source: Alexandria via LeMat-Bulk
Functional: GGA-PBEsol
Structure: relaxed

## Properties
- D(E_F): 11.22 states/eV per cell
- Crystal system: trigonal
- Formation enthalpy at 0 K: 0.0662 eV/atom

a b c (Å): 2.8393 2.8393 28.1520
angles (deg): 90.00 90.00 120.00
Space group R-3m (No. 166, hexagonal axes)
Symmetry-distinct sites (fractional):
Y1 0.0000 0.0000 0.0000
Ru1 0.0000 0.0000 0.5000
Pt1 0.0000 0.0000 0.2433


Entry 2:
Compound: CaIr
Source: Alexandria via LeMat-Bulk
Functional: GGA-PBEsol
Structure: relaxed

## Properties
- D(E_F): 1.15 states/eV per cell
- Crystal system: hexagonal
- Formation enthalpy at 0 K: 0.1892 eV/atom

a b c (Å): 3.0819 3.0819 4.4858
angles (deg): 90.00 90.00 120.00
Space group P-6m2 (No. 187)
Symmetry-distinct sites (fractional):
Ca1 0.0000 0.0000 0.0000
Ir1 0.3333 0.6667 0.5000


Entry 3:
Compound: HgBrO2
Source: Alexandria via LeMat-Bulk
Functional: GGA-PBEsol
Structure: relaxed

## Properties
- D(E_F): 6.37 states/eV per cell
- Crystal system: trigonal
- ΔE_f (raw): -0.05 eV per atom

a b c (Å): 3.5404 3.5404 18.4441
angles (deg): 90.00 90.00 120.00
Space group R-3m (No. 166, hexagonal axes)
Symmetry-distinct sites (fractional):
Hg1 0.0000 0.0000 0.0000
Br1 0.0000 0.0000 0.5000
O1 0.0000 0.0000 0.3931


Entry 4:
Compound: CuRe3I
Source: Alexandria via LeMat-Bulk
Functional: GGA-PBEsol
Structure: relaxed

## Properties
- D(E_F): 8.07 states/eV per cell
- Crystal system: cubic
- ΔE_f (raw): 2.41 eV per atom

a b c (Å): 4.501 4.501 4.501
angles (deg): 90.00 90.00 90.00
Space group Pm-3m (No. 221)
Symmetry-distinct sites (fractional):
Cu1 0.000 0.000 0.000
Re1 0.000 0.000 0.500
I1 0.500 0.500 0.500


Entry 5:
Compound: ZnAgAu2
Source: Alexandria via LeMat-Bulk
Functional: GGA-PBEsol
Structure: relaxed

## Properties
- D(E_F): 2.09 states/eV per cell
- Crystal system: monoclinic
- Formation enthalpy at 0 K: -0.1195 eV/atom

a b c (Å): 9.577 2.938 4.742
angles (deg): 90.00 105.69 90.00
Space group Cm (No. 8)
Symmetry-distinct sites (fractional):
Zn1 0.000 0.000 0.000
Ag1 0.261 0.000 0.742
Au1 0.236 0.500 0.224
Au2 0.499 0.000 0.499


Entry 6:
Compound: La2Co3
Source: Alexandria via LeMat-Bulk
Functional: GGA-PBEsol
Structure: relaxed

## Properties
- D(E_F): 7.69 states/eV per cell
- Crystal system: trigonal
- Formation enthalpy at 0 K: -0.0191 eV/atom

a b c (Å): 4.0480 4.0480 7.5988
angles (deg): 90.00 90.00 120.00
Space group P-3m1 (No. 164)
Symmetry-distinct sites (fractional):
La1 0.3333 0.6667 0.2281
Co1 0.0000 0.0000 0.5000
Co2 0.3333 0.6667 0.5564


Entry 7:
Compound: K2ZrRu
Source: Alexandria via LeMat-Bulk
Functional: GGA-PBEsol
Structure: relaxed

## Properties
- D(E_F): 3.78 states/eV per cell
- Crystal system: tetragonal
- Formation enthalpy at 0 K: 0.9227 eV/atom

a b c (Å): 3.900 3.900 6.116
angles (deg): 90.00 90.00 90.00
Space group P4/mmm (No. 123)
Symmetry-distinct sites (fractional):
K1 0.000 0.500 0.000
Zr1 0.000 0.000 0.500
Ru1 0.500 0.500 0.500


Entry 8:
Compound: TiMnP2O8
Source: Alexandria via LeMat-Bulk
Functional: GGA-PBEsol
Structure: relaxed

## Properties
- Crystal system: monoclinic
- ΔE_f (raw): -2.31 eV per atom
- Energy relative to the lowest polymorph listed for this composition: 0.70 kJ/mol of atoms

a b c (Å): 4.926 5.919 9.962
angles (deg): 90.00 90.16 90.00
Space group P2_1/m (No. 11)
Symmetry-distinct sites (fractional):
Ti1 0.036 0.250 0.223
Mn1 0.461 0.250 0.727
P1 0.064 0.750 0.095
P2 0.387 0.750 0.602
O1 0.148 0.750 0.945
O2 0.202 0.544 0.168
O3 0.233 0.552 0.674
O4 0.241 0.250 0.893
O5 0.312 0.250 0.356
O6 0.357 0.750 0.452


Energy per entry: -7.664; -5.789; -3.288; -6.813; -3.305; -6.800; -4.459; -8.279 eV/atom
Mass density per entry: 14.7; 10.5; 7.8; 13.6; 14.7; 7.0; 4.8; 3.3 g/cm3